ZrTi2PbSe: relaxed, PBEsol.

Properties
Formation energy (no corrections) ... 25.71 kcal/mol of atoms

Lattice parameters (Å, degrees): 5.0960 5.0960 5.4002 90.00 90.00 90.00
Space group P4/mmm (No. 123)
Asymmetric unit:
Zr  0.0000  0.0000  0.0000 x1
Ti  0.0000  0.5000  0.5000 x2
Pb  0.0000  0.0000  0.5000 x1
Se  0.5000  0.5000  0.0000 x1

---

Tl4PbSe3: relaxed, PBEsol.

Properties
Energy above the lowest structure with this stoichiometry ... 0.50 kJ/mol of atoms
Formation energy (no corrections) ... -8.42 kcal/mol of atoms

Lattice parameters (Å, degrees): 8.3543 8.3543 12.4785 90.00 90.00 90.00
Space group I4/mcm (No. 140)
Asymmetric unit:
Tl  0.1483  0.3517  0.1572 x16
Pb  0.0000  0.0000  0.0000 x4
Se  0.0000  0.0000  0.2500 x4
Se  0.1623  0.3377  0.5000 x8

---

Tl2PbSe: relaxed, PBEsol.

Properties
Formation energy (no corrections) ... -0.78 kcal/mol of atoms

Lattice parameters (Å, degrees): 7.5510 7.5510 7.5510 90.00 90.00 90.00
Space group F-43m (No. 216)
Asymmetric unit:
Tl  0.0000  0.0000  0.0000 x4
Tl  0.2500  0.2500  0.2500 x4
Pb  0.0000  0.0000  0.5000 x4
Se  0.2500  0.2500  0.7500 x4

---

Tl4PbSe3: relaxed, PBEsol.

Properties
Energy above the lowest structure with this stoichiometry ... 0.00 kJ/mol of atoms
Formation energy (no corrections) ... -8.54 kcal/mol of atoms

Lattice parameters (Å, degrees): 8.3770 8.3770 12.5798 90.00 90.00 90.00
Space group P4/ncc (No. 130, origin choice 2)
Asymmetric unit:
Tl  0.0823  0.6254  0.0935 x16
Pb  0.2500  0.2500  0.2196 x4
Se  0.0847  0.5847  0.7500 x8
Se  0.2500  0.2500  0.4905 x4

---

PbW2Se: relaxed, PBEsol.

Properties
Energy above the lowest structure with this stoichiometry ... 0.00 kJ/mol of atoms
Formation energy (no corrections) ... 11.11 kcal/mol of atoms

Lattice parameters (Å, degrees): 3.3164 4.8651 9.7404 90.00 90.00 90.00
Space group Cmm2 (No. 35)
Asymmetric unit:
Pb  0.0000  0.0000  0.0000 x2
W  0.0000  0.0000  0.4666 x2
W  0.0000  0.5000  0.2593 x2
Se  0.0000  0.5000  0.6721 x2

---

Pb3WSe: relaxed, PBEsol.

Properties
Formation energy (no corrections) ... 16.27 kcal/mol of atoms

Lattice parameters (Å, degrees): 5.3252 5.3252 5.3252 90.00 90.00 90.00
Space group Pm-3m (No. 221)
Asymmetric unit:
Pb  0.0000  0.0000  0.5000 x3
W  0.0000  0.0000  0.0000 x1
Se  0.5000  0.5000  0.5000 x1

---

PbW2Se: relaxed, PBEsol.

Properties
Energy above the lowest structure with this stoichiometry ... 9.67 kJ/mol of atoms
Formation energy (no corrections) ... 13.42 kcal/mol of atoms

Lattice parameters (Å, degrees): 8.9334 3.1878 5.6552 90.00 101.85 90.00
Space group Cm (No. 8)
Asymmetric unit:
Pb  0.0000  0.0000  0.0000 x2
W  0.2646  0.5000  0.2784 x2
W  0.4825  0.0000  0.4900 x2
Se  0.2197  0.0000  0.6125 x2

---

PbW2Se: relaxed, PBEsol.

Properties
Energy above the lowest structure with this stoichiometry ... 28.28 kJ/mol of atoms
Formation energy (no corrections) ... 17.87 kcal/mol of atoms

Lattice parameters (Å, degrees): 8.3132 3.0933 5.9314 90.00 102.67 90.00
Space group C2/m (No. 12)
Asymmetric unit:
Pb  0.0000  0.0000  0.0000 x2
W  0.2418  0.0000  0.6846 x4
Se  0.0000  0.5000  0.5000 x2

---

PbWSe: relaxed, PBEsol.

Properties
Formation energy (no corrections) ... 21.86 kcal/mol of atoms

Lattice parameters (Å, degrees): 6.4693 6.4693 6.4693 90.00 90.00 90.00
Space group F-43m (No. 216)
Asymmetric unit:
Pb  0.0000  0.0000  0.0000 x4
W  0.2500  0.2500  0.2500 x4
Se  0.0000  0.0000  0.5000 x4

---

PbWSe2: relaxed, PBEsol.

Properties
Formation energy (no corrections) ... 22.51 kcal/mol of atoms

Lattice parameters (Å, degrees): 6.7824 6.7824 6.7824 90.00 90.00 90.00
Space group F-43m (No. 216)
Asymmetric unit:
Pb  0.0000  0.0000  0.0000 x4
W  0.2500  0.2500  0.2500 x4
Se  0.0000  0.0000  0.5000 x4
Se  0.2500  0.2500  0.7500 x4

---

PbWSe2: relaxed, PBEsol.

Properties
Formation energy (no corrections) ... 6.41 kcal/mol of atoms

Lattice parameters (Å, degrees): 3.0612 3.0612 9.1813 90.00 90.00 90.00
Space group P4mm (No. 99)
Asymmetric unit:
Pb  0.0000  0.0000  0.0000 x1
W  0.5000  0.5000  0.7480 x1
Se  0.0000  0.0000  0.5985 x1
Se  0.5000  0.5000  0.2920 x1

---

PbW2Se: relaxed, PBEsol.

Properties
Energy above the lowest structure with this stoichiometry ... 54.55 kJ/mol of atoms
Formation energy (no corrections) ... 24.15 kcal/mol of atoms

Lattice parameters (Å, degrees): 3.0661 5.3955 8.8812 90.00 90.00 90.00
Space group Cmmm (No. 65)
Asymmetric unit:
Pb  0.0000  0.0000  0.0000 x2
W  0.0000  0.5000  0.2755 x4
Se  0.0000  0.0000  0.5000 x2

---

Y2PbSe: relaxed, PBEsol.

Properties
Energy above the lowest structure with this stoichiometry ... 0.63 kJ/mol of atoms
Formation energy (no corrections) ... -27.55 kcal/mol of atoms

Lattice parameters (Å, degrees): 4.1660 4.1660 21.0312 90.00 90.00 120.00
Space group R-3m (No. 166, hexagonal axes)
Asymmetric unit:
Y  0.0000  0.0000  0.2450 x6
Pb  0.0000  0.0000  0.0000 x3
Se  0.0000  0.0000  0.5000 x3

---

YPbSe: relaxed, PBEsol.

Properties
Formation energy (no corrections) ... -2.08 kcal/mol of atoms

Lattice parameters (Å, degrees): 7.1319 7.1319 7.1319 90.00 90.00 90.00
Space group F-43m (No. 216)
Asymmetric unit:
Y  0.0000  0.0000  0.0000 x4
Pb  0.2500  0.2500  0.2500 x4
Se  0.0000  0.0000  0.5000 x4

---

YPbSe3: relaxed, PBEsol.

Properties
Formation energy (no corrections) ... -3.91 kcal/mol of atoms

Lattice parameters (Å, degrees): 5.2669 5.2669 5.2669 90.00 90.00 90.00
Space group Pm-3m (No. 221)
Asymmetric unit:
Y  0.0000  0.0000  0.0000 x1
Pb  0.5000  0.5000  0.5000 x1
Se  0.0000  0.5000  0.5000 x3

---

Y2PbSe: relaxed, PBEsol.

Properties
Energy above the lowest structure with this stoichiometry ... 24.45 kJ/mol of atoms
Formation energy (no corrections) ... -21.86 kcal/mol of atoms

Lattice parameters (Å, degrees): 7.4661 7.7376 3.5688 90.00 101.18 90.00
Space group C2/m (No. 12)
Asymmetric unit:
Y  0.2500  0.2500  0.0000 x4
Pb  0.0000  0.0000  0.5000 x2
Se  0.0000  0.5000  0.5000 x2

---

YPbSe4: relaxed, PBEsol.

Properties
Formation energy (no corrections) ... -2.17 kcal/mol of atoms

Lattice parameters (Å, degrees): 8.1528 8.1528 8.1528 90.00 90.00 90.00
Space group F-43m (No. 216)
Asymmetric unit:
Y  0.0000  0.0000  0.0000 x4
Pb  0.2500  0.2500  0.2500 x4
Se  0.1259  0.1259  0.6259 x16

---

Y2PbSe: relaxed, PBEsol.

Properties
Energy above the lowest structure with this stoichiometry ... 0.00 kJ/mol of atoms
Formation energy (no corrections) ... -27.70 kcal/mol of atoms

Lattice parameters (Å, degrees): 4.2266 4.2266 5.9650 90.00 90.00 90.00
Space group P4/mmm (No. 123)
Asymmetric unit:
Y  0.0000  0.0000  0.0000 x1
Y  0.5000  0.5000  0.5000 x1
Pb  0.0000  0.0000  0.5000 x1
Se  0.5000  0.5000  0.0000 x1

---

Zn2PbSe: relaxed, PBEsol.

Properties
Energy above the lowest structure with this stoichiometry ... 17.98 kJ/mol of atoms
Formation energy (no corrections) ... 5.63 kcal/mol of atoms

Lattice parameters (Å, degrees): 6.8962 6.8962 6.8962 90.00 90.00 90.00
Space group Fm-3m (No. 225)
Asymmetric unit:
Zn  0.2500  0.2500  0.2500 x8
Pb  0.0000  0.0000  0.0000 x4
Se  0.0000  0.0000  0.5000 x4

---

ZnPbSe: relaxed, PBEsol.

Properties
Formation energy (no corrections) ... 2.58 kcal/mol of atoms

Lattice parameters (Å, degrees): 6.9108 6.9108 6.9108 90.00 90.00 90.00
Space group F-43m (No. 216)
Asymmetric unit:
Zn  0.0000  0.0000  0.0000 x4
Pb  0.0000  0.0000  0.5000 x4
Se  0.2500  0.2500  0.7500 x4